(1)
Density functional theory data (GGA-PBEsol) for crystalline Ba7TiN6 at its relaxed geometry.

Cell lengths 6.971, 12.360, 14.391 Å; angles 90.00, 90.00, 90.00 degrees
Element x y z (fractional)
Ba: 0.257 0.966 0.021
Ba: 0.243 0.534 0.521
Ba: 0.243 0.466 0.979
Ba: 0.257 0.034 0.479
Ba: 0.743 0.034 0.979
Ba: 0.757 0.466 0.479
Ba: 0.757 0.534 0.021
Ba: 0.743 0.966 0.521
Ba: 0.171 0.768 0.372
Ba: 0.329 0.732 0.872
Ba: 0.329 0.268 0.628
Ba: 0.171 0.232 0.128
Ba: 0.829 0.232 0.628
Ba: 0.671 0.268 0.128
Ba: 0.671 0.732 0.372
Ba: 0.829 0.768 0.872
Ba: 0.401 0.711 0.125
Ba: 0.099 0.789 0.625
Ba: 0.099 0.211 0.875
Ba: 0.401 0.289 0.375
Ba: 0.599 0.289 0.875
Ba: 0.901 0.211 0.375
Ba: 0.901 0.789 0.125
Ba: 0.599 0.711 0.625
Ba: 0.571 0.000 0.250
Ba: 0.929 0.500 0.750
Ba: 0.429 0.000 0.750
Ba: 0.071 0.500 0.250
Ti: 0.078 0.000 0.250
Ti: 0.422 0.500 0.750
Ti: 0.922 0.000 0.750
Ti: 0.578 0.500 0.250
N: 0.245 0.882 0.209
N: 0.255 0.618 0.709
N: 0.255 0.382 0.791
N: 0.245 0.118 0.291
N: 0.755 0.118 0.791
N: 0.745 0.382 0.291
N: 0.745 0.618 0.209
N: 0.755 0.882 0.709
N: 0.400 0.837 0.501
N: 0.100 0.663 0.001
N: 0.100 0.337 0.499
N: 0.400 0.163 0.999
N: 0.600 0.163 0.499
N: 0.900 0.337 0.999
N: 0.900 0.663 0.501
N: 0.600 0.837 0.001
N: 0.418 0.553 0.351
N: 0.082 0.947 0.851
N: 0.082 0.053 0.649
N: 0.418 0.447 0.149
N: 0.582 0.447 0.649
N: 0.918 0.053 0.149
N: 0.918 0.947 0.351
N: 0.582 0.553 0.851

Values from the calculation:
Formation energy without anion corrections in eV/atom: -0.75
Symmetry: No. 60

---

(2)
Density functional theory data (GGA-PBEsol) for crystalline Li4MnCrO6 at its relaxed geometry.

Cell lengths 4.909, 4.909, 9.523 Å; angles 94.76, 94.76, 119.84 degrees
Last column: magnetic moment on the atom in μB.
Element x y z (fractional)
Li: 0.500 0.000 0.500  0.00
Li: 0.000 0.500 0.000  0.00
Li: 0.750 0.250 0.250  0.00
Li: 0.250 0.750 0.750  0.00
Li: 0.335 0.156 0.999  0.00
Li: 0.156 0.335 0.499  0.00
Li: 0.844 0.665 0.501  0.00
Li: 0.665 0.844 0.001  0.00
Mn: 0.083 0.917 0.250  2.74
Mn: 0.917 0.083 0.750  2.74
Cr: 0.582 0.418 0.750  1.97
Cr: 0.418 0.582 0.250  1.97
O: 0.645 0.144 0.864  0.02
O: 0.856 0.355 0.636  0.02
O: 0.144 0.645 0.364  0.02
O: 0.355 0.856 0.136  0.02
O: 0.428 0.285 0.362  0.01
O: 0.715 0.572 0.138  0.01
O: 0.285 0.428 0.862  0.01
O: 0.572 0.715 0.638  0.01
O: 0.211 0.069 0.637  0.02
O: 0.069 0.211 0.137  0.02
O: 0.931 0.789 0.863  0.02
O: 0.789 0.931 0.363  0.02

Values from the calculation:
Formation energy without anion corrections in eV/atom: -2.02
Symmetry: No. 15

---

(3)
Density functional theory data (GGA-PBEsol) for crystalline BaSr2CdBi at its relaxed geometry.

Cell lengths 6.131, 6.838, 6.838 Å; angles 90.00, 90.00, 90.00 degrees
Last column: magnetic moment on the atom in μB.
Element x y z (fractional)
Sr: 0.000 0.000 0.500  0.11
Sr: 0.000 0.500 0.000  0.11
Cd: 0.500 0.500 0.500  0.00
Bi: 0.500 0.000 0.000  -0.01
Ba: 0.000 0.000 0.000  0.25

Values from the calculation:
Energy of formation from the pure elements in meV per atom: 633.5
Symmetry: No. 123

---

(4)
Density functional theory data (GGA-PBEsol) for crystalline BiAu2Br at its relaxed geometry.

Cell lengths 5.002, 5.002, 5.002 Å; angles 60.00, 60.00, 60.00 degrees
Element x y z (fractional)
Au: 0.250 0.250 0.250
Au: 0.750 0.750 0.750
Bi: 0.500 0.500 0.500
Br: 0.000 0.000 0.000

Values from the calculation:
Formation energy without anion corrections in eV/atom: 0.34
Symmetry: No. 225

---

(5)
Density functional theory data (GGA-PBEsol) for crystalline RbAlF4 at its relaxed geometry.

Cell lengths 5.119, 5.119, 6.281 Å; angles 90.00, 90.00, 90.00 degrees
Element x y z (fractional)
Rb: 0.500 0.000 0.500
Rb: 0.000 0.500 0.500
Al: 0.500 0.500 0.000
Al: 0.000 0.000 0.000
F: 0.500 0.500 0.282
F: 0.000 0.000 0.718
F: 0.500 0.500 0.718
F: 0.000 0.000 0.282
F: 0.205 0.705 0.000
F: 0.295 0.205 0.000
F: 0.705 0.795 0.000
F: 0.795 0.295 0.000

Values from the calculation:
Formation energy without anion corrections in eV/atom: -3.39
Symmetry: No. 127

---

(6)
Density functional theory data (GGA-PBEsol) for crystalline BaNiO3 at its relaxed geometry.

Cell lengths 3.891, 3.891, 3.891 Å; angles 90.00, 90.00, 90.00 degrees
Last column: magnetic moment on the atom in μB.
Element x y z (fractional)
Ba: 0.000 0.000 0.000  0.03
Ni: 0.500 0.500 0.500  0.59
O: 0.000 0.500 0.500  0.19
O: 0.500 0.000 0.500  0.19
O: 0.500 0.500 0.000  0.19

Values from the calculation:
Formation energy without anion corrections in eV/atom: -1.46
Symmetry: No. 221

---

(7)
Density functional theory data (GGA-PBEsol) for crystalline SrAl2H at its relaxed geometry.

Cell lengths 4.965, 4.965, 4.965 Å; angles 60.00, 60.00, 60.00 degrees
Element x y z (fractional)
Sr: 0.500 0.500 0.500
Al: 0.250 0.250 0.250
Al: 0.750 0.750 0.750
H: 0.000 0.000 0.000

Values from the calculation:
Symmetry: No. 225
Excess energy over the best structure of this formula in the dataset in eV/f.u.: 3.02

---

(8)
Density functional theory data (GGA-PBEsol) for crystalline Hf2BeFeAu at its relaxed geometry.

Cell lengths 4.604, 5.008, 5.008 Å; angles 90.00, 90.00, 90.00 degrees
Last column: magnetic moment on the atom in μB.
Element x y z (fractional)
Hf: 0.000 0.000 0.500  -0.14
Hf: 0.000 0.500 0.000  -0.14
Au: 0.000 0.000 0.000  0.03
Fe: 0.500 0.000 0.000  2.86
Be: 0.500 0.500 0.500  -0.02

Values from the calculation:
Energy of formation from the pure elements in meV per atom: 1291.2
Symmetry: No. 123

---

Record order is preserved below.
Size of the total moment: 0.001; 10.000; 1.491; 0.000; 0.000; 1.279; 0.000; 2.349 Bohr magnetons per cell